No. 1
Material: KLaCd2
Method: DFT, PBE
State: relaxed

## Properties
The energy relative to the elements comes out at 1 meV/atom. The calculation puts the energy above the most stable polymorph in this dataset at 55 kJ/mol of formula units. The calculation puts the density of states at the Fermi level at 2.79 states/eV per cell. Its symmetry is C2/m (12).

abc: 3.844 3.844 11.172
angles: 80.34 80.34 59.62
Positions (direct):
Cd: 0.994 0.994 0.017
Cd: 0.506 0.506 0.483
K: 0.750 0.750 0.750
La: 0.250 0.250 0.250


No. 2
Material: K2La2Cd
Method: DFT, PBE
State: relaxed

## Properties
The energy relative to the elements comes out at 298 meV/atom. The calculation puts the density of states at the Fermi level at 10.71 states/eV per cell. Its symmetry is P4/mbm (127).

abc: 8.066 8.066 6.985
angles: 90.00 90.00 90.00
Positions (direct):
K: 0.193 0.693 0.500
K: 0.693 0.807 0.500
K: 0.807 0.307 0.500
K: 0.307 0.193 0.500
Cd: 0.000 0.000 0.000
Cd: 0.500 0.500 0.000
La: 0.371 0.871 0.000
La: 0.871 0.629 0.000
La: 0.629 0.129 0.000
La: 0.129 0.371 0.000


No. 3
Material: KLaCd2
Method: DFT, PBE
State: relaxed

## Properties
The energy relative to the elements comes out at 16 meV/atom. The calculation puts the energy above the most stable polymorph in this dataset at 61 kJ/mol of formula units. The calculation puts the density of states at the Fermi level at 1.03 states/eV per cell. Its symmetry is F-43m (216).

abc: 5.442 5.442 5.442
angles: 120.03 120.03 89.94
Positions (direct):
Cd: 0.000 0.000 0.000
Cd: 0.250 0.750 0.500
K: 0.500 0.500 0.000
La: 0.750 0.250 0.500


No. 4
Material: K2LiLaCd
Method: DFT, PBE
State: relaxed

## Properties
The energy relative to the elements comes out at 528 meV/atom. The calculation puts the density of states at the Fermi level at 6.43 states/eV per cell. Its symmetry is P4/mmm (123).

abc: 5.733 6.334 5.733
angles: 90.00 90.00 90.00
Positions (direct):
K: 0.000 0.000 0.500
K: 0.500 0.000 0.000
Cd: 0.500 0.500 0.500
Li: 0.000 0.000 0.000
La: 0.000 0.500 0.000


No. 5
Material: K2LaCdMo
Method: DFT, PBE
State: relaxed

## Properties
The energy relative to the elements comes out at 902 meV/atom. The calculation puts the density of states at the Fermi level at 5.92 states/eV per cell. Its symmetry is P4/mmm (123).

abc: 6.640 5.114 6.640
angles: 90.00 90.00 90.00
Positions (direct):
Mo: 0.000 0.000 0.000
Cd: 0.500 0.500 0.500
K: 0.000 0.000 0.500
K: 0.500 0.000 0.000
La: 0.000 0.500 0.000


No. 6
Material: K2LaCdO
Method: DFT, PBE
State: relaxed

## Properties
The value obtained for the raw formation energy is 0.9854 eV/atom. The calculation puts the density of states at the Fermi level at 14.35 states/eV per cell. Its symmetry is P4/mmm (123).

abc: 7.843 6.166 7.843
angles: 90.00 90.00 90.00
Positions (direct):
K: 0.000 0.000 0.500
K: 0.500 0.000 0.000
Cd: 0.000 0.500 0.000
O: 0.500 0.500 0.500
La: 0.000 0.000 0.000